a | DFT (GGA-PBE) results for crystalline LiZnCoTe at its relaxed geometry.

Lattice parameters (Å, degrees): 4.567 4.567 4.567 60.00 60.00 60.00
Fractional coordinates of all 4 atoms:
Co1 0.000 0.000 0.000
Li1 0.750 0.750 0.750
Te1 0.500 0.500 0.500
Zn1 0.250 0.250 0.250

Results
V	16.83	Å³ per atom
symmetry	No. 216

b | DFT (GGA-PBE) results for crystalline LiZnCoTe at its relaxed geometry.

Lattice parameters (Å, degrees): 4.386 4.386 4.386 60.00 60.00 60.00
Fractional coordinates of all 4 atoms:
Co1 0.250 0.250 0.250
Li1 0.750 0.750 0.750
Te1 0.500 0.500 0.500
Zn1 0.000 0.000 0.000

Results
V	14.91	Å³ per atom
symmetry	No. 216

Last place for stability: a